Material: LaHo6Th2
Method: DFT, PBE
State: optimized geometry

Cell lengths 6.730, 9.574, 9.574 Å; angles 100.26, 98.89, 98.89 degrees
Fractional positions:
Ho: 0.183 0.958 0.742
La: 0.250 0.904 0.096
Ho: 0.976 0.260 0.639
Ho: 0.690 0.917 0.551
La: 0.750 0.096 0.904
Ho: 0.476 0.639 0.260
Ho: 0.810 0.449 0.083
Th: 0.136 0.381 0.351
Ho: 0.683 0.742 0.958
Ho: 0.817 0.042 0.258
Ho: 0.524 0.361 0.740
Ho: 0.310 0.083 0.449
Ho: 0.317 0.258 0.042
Th: 0.636 0.351 0.381
Th: 0.364 0.649 0.619
Th: 0.864 0.619 0.649
Ho: 0.190 0.551 0.917
Ho: 0.024 0.740 0.361

Values from the calculation:
Formation energy: 0.1375 eV per atom
D(E_F): 27.15 states/eV per cell
Total magnetization: 0.00 μB/atom
Density: 8.98 Mg/m³